[1]
CaZr3Sb: relaxed, PBE-GGA.

Computed properties:
M_tot: 0.313 μB per atom
E_form (uncorrected): 1.379 eV/atom
energy above the lowest structure with this stoichiometry: 451 kJ/mol of formula units
V: 26.0 A^3/atom
total DFT energy (no corrections): -4.97 eV/atom
theoretical density: 5.56 g/cm³
DOS(E_F): 6.18 states/eV per cell

Cell: 5.0659 5.0659 5.0659 Å, 90.00 90.00 90.00°
With the nearest neighbours (Å) after each atom.
Space group Pm-3m (No. 221)
Unique sites:
Ca: 0.0000 0.0000 0.0000 [1 per cell]  6 Zr 2.53
Zr: 0.0000 0.0000 0.5000 [3 per cell]  2 Ca 2.53
Sb: 0.5000 0.5000 0.5000 [1 per cell]  12 Zr 3.58



[2]
CaZrSb2: relaxed, PBE-GGA.

Computed properties:
M_tot: 0.109 μB per atom
E_form (uncorrected): -0.489 eV/atom
energy above the lowest structure with this stoichiometry: 120 kJ/mol of formula units
V: 25.6 A^3/atom
total DFT energy (no corrections): -5.19 eV/atom
theoretical density: 6.07 g/cm³
DOS(E_F): 13.87 states/eV per cell

Cell: 7.4292 7.4292 7.4292 Å, 90.00 90.00 90.00°
With the nearest neighbours (Å) after each atom.
Space group Fm-3m (No. 225)
Unique sites:
Ca: 0.0000 0.0000 0.0000 [4 per cell]  8 Sb 3.22
Zr: 0.0000 0.0000 0.5000 [4 per cell]  8 Sb 3.22
Sb: 0.2500 0.2500 0.2500 [8 per cell]  4 Zr 3.22, 4 Ca 3.22



[3]
CaZrSb2: relaxed, PBE-GGA.

Computed properties:
M_tot: 0.000 μB per atom
E_form (uncorrected): -0.023 eV/atom
energy above the lowest structure with this stoichiometry: 300 kJ/mol of formula units
V: 25.8 A^3/atom
total DFT energy (no corrections): -4.72 eV/atom
theoretical density: 6.04 g/cm³
DOS(E_F): 14.17 states/eV per cell

Cell: 7.4414 7.4414 7.4414 Å, 90.00 90.00 90.00°
With the nearest neighbours (Å) after each atom.
Space group F-43m (No. 216)
Unique sites:
Ca: 0.0000 0.0000 0.0000 [4 per cell]  4 Sb 3.22, 4 Zr 3.22
Zr: 0.2500 0.2500 0.7500 [4 per cell]  4 Sb 3.22, 4 Ca 3.22
Sb: 0.0000 0.0000 0.5000 [4 per cell]  4 Zr 3.22, 4 Sb 3.22
Sb: 0.2500 0.2500 0.2500 [4 per cell]  4 Sb 3.22, 4 Ca 3.22



[4]
CaZr2Sb: relaxed, PBE-GGA.

Computed properties:
M_tot: 0.000 μB per atom
E_form (uncorrected): 0.064 eV/atom
V: 25.9 A^3/atom
total DFT energy (no corrections): -5.74 eV/atom
theoretical density: 5.52 g/cm³
DOS(E_F): 14.69 states/eV per cell

Cell: 3.3290 3.3290 32.3889 Å, 90.00 90.00 120.00°
With the nearest neighbours (Å) after each atom.
Space group R-3m (No. 166, hexagonal axes)
Unique sites:
Ca: 0.0000 0.0000 0.0000 [3 per cell]  6 Ca 3.33, 6 Zr 3.54
Zr: 0.0000 0.0000 0.2417 [6 per cell]  3 Sb 3.10, 6 Zr 3.33
Sb: 0.0000 0.0000 0.5000 [3 per cell]  6 Zr 3.10, 6 Sb 3.33



[5]
CaZrSb2: relaxed, PBE-GGA.

Computed properties:
M_tot: 0.000 μB per atom
E_form (uncorrected): -0.636 eV/atom
energy above the lowest structure with this stoichiometry: 64 kJ/mol of formula units
V: 25.8 A^3/atom
total DFT energy (no corrections): -5.33 eV/atom
theoretical density: 6.03 g/cm³
DOS(E_F): 2.98 states/eV per cell

Cell: 3.6098 3.6098 7.9165 Å, 90.00 90.00 90.00°
With the nearest neighbours (Å) after each atom.
Space group P4/mmm (No. 123)
Unique sites:
Ca: 0.0000 0.0000 0.0000 [1 per cell]  8 Sb 3.37, 4 Ca 3.61
Zr: 0.0000 0.0000 0.5000 [1 per cell]  8 Sb 3.10
Sb: 0.5000 0.5000 0.2777 [2 per cell]  4 Zr 3.10, 4 Ca 3.37



[6]
CaZrSb: relaxed, PBE-GGA.

Computed properties:
M_tot: 0.000 μB per atom
E_form (uncorrected): -0.783 eV/atom
V: 27.0 A^3/atom
total DFT energy (no corrections): -5.67 eV/atom
theoretical density: 5.19 g/cm³
DOS(E_F): 2.03 states/eV per cell

Cell: 4.4117 4.4117 8.3173 Å, 90.00 90.00 90.00°
With the nearest neighbours (Å) after each atom.
Space group P4/nmm (No. 129, origin choice 2)
Unique sites:
Ca: 0.2500 0.2500 0.1565 [2 per cell]  5 Sb 3.20-3.32
Zr: 0.2500 0.7500 0.5000 [2 per cell]  4 Sb 3.07, 4 Zr 3.12
Sb: 0.2500 0.2500 0.7569 [2 per cell]  4 Zr 3.07, 5 Ca 3.20-3.32



[7]
CaZr2Sb: relaxed, PBE-GGA.

Computed properties:
M_tot: 0.000 μB per atom
E_form (uncorrected): -0.095 eV/atom
V: 25.7 A^3/atom
total DFT energy (no corrections): -5.90 eV/atom
theoretical density: 5.57 g/cm³
DOS(E_F): 8.54 states/eV per cell

Cell: 10.3956 3.3270 6.0136 Å, 90.00 99.35 90.00°
With the nearest neighbours (Å) after each atom.
Space group Cm (No. 8)
Unique sites:
Ca: 0.0000 0.0000 0.0000 [2 per cell]  7 Zr 3.22-3.60, 3 Sb 3.23-3.25, 2 Ca 3.33
Zr: 0.0164 0.5000 0.5098 [2 per cell]  5 Zr 3.05-3.33, 3 Sb 3.09-3.31, 2 Ca 3.41
Zr: 0.2783 0.5000 0.3177 [2 per cell]  5 Zr 3.05-3.33, 2 Sb 3.12, 1 Ca 3.22
Sb: 0.2502 0.0000 0.7455 [2 per cell]  5 Zr 3.09-3.31, 3 Ca 3.23-3.25, 2 Sb 3.33



[8]
CaZrSb2: relaxed, PBE-GGA.

Computed properties:
M_tot: 0.000 μB per atom
E_form (uncorrected): -0.539 eV/atom
energy above the lowest structure with this stoichiometry: 101 kJ/mol of formula units
V: 26.0 A^3/atom
total DFT energy (no corrections): -5.24 eV/atom
theoretical density: 5.98 g/cm³
DOS(E_F): 4.98 states/eV per cell

Cell: 4.4936 5.7203 8.1018 Å, 90.00 90.00 90.00°
With the nearest neighbours (Å) after each atom.
Space group Immm (No. 71)
Unique sites:
Ca: 0.0000 0.0000 0.0000 [2 per cell]  4 Sb 3.06
Zr: 0.0000 0.0000 0.5000 [2 per cell]  4 Sb 2.99
Sb: 0.0000 0.5000 0.2431 [4 per cell]  2 Zr 2.99, 2 Ca 3.06



[9]
CaZr2Sb: relaxed, PBE-GGA.

Computed properties:
M_tot: 0.000 μB per atom
E_form (uncorrected): -0.114 eV/atom
V: 25.4 A^3/atom
total DFT energy (no corrections): -5.92 eV/atom
theoretical density: 5.63 g/cm³
DOS(E_F): 3.70 states/eV per cell

Cell: 3.3050 5.4702 5.6563 Å, 90.00 96.40 90.00°
With the nearest neighbours (Å) after each atom.
Space group P2/m (No. 10)
Unique sites:
Ca: 0.0000 0.0000 0.0000 [1 per cell]  4 Sb 3.11-3.43, 2 Ca 3.31, 4 Zr 3.36
Zr: 0.3267 0.5000 0.7348 [2 per cell]  5 Zr 3.01-3.31, 2 Sb 3.12, 2 Ca 3.36
Sb: 0.5000 0.0000 0.5000 [1 per cell]  4 Ca 3.11-3.43, 4 Zr 3.12, 2 Sb 3.31



[10]
Ca3ZrSb: relaxed, PBE-GGA.

Computed properties:
M_tot: 0.957 μB per atom
E_form (uncorrected): 0.290 eV/atom
energy above the lowest structure with this stoichiometry: 0 kJ/mol of formula units
V: 40.7 A^3/atom
total DFT energy (no corrections): -3.45 eV/atom
theoretical density: 2.72 g/cm³
DOS(E_F): 6.17 states/eV per cell

Cell: 5.8802 5.8802 5.8802 Å, 90.00 90.00 90.00°
With the nearest neighbours (Å) after each atom.
Space group Pm-3m (No. 221)
Unique sites:
Ca: 0.0000 0.0000 0.5000 [3 per cell]  2 Sb 2.94
Zr: 0.5000 0.5000 0.5000 [1 per cell]  12 Ca 4.16
Sb: 0.0000 0.0000 0.0000 [1 per cell]  6 Ca 2.94



[11]
CaZrSb: relaxed, PBE-GGA.

Computed properties:
M_tot: 0.081 μB per atom
E_form (uncorrected): -0.133 eV/atom
V: 27.2 A^3/atom
total DFT energy (no corrections): -5.02 eV/atom
theoretical density: 5.16 g/cm³
DOS(E_F): 3.25 states/eV per cell

Cell: 3.4920 3.4920 7.7159 Å, 90.00 90.00 120.00°
With the nearest neighbours (Å) after each atom.
Space group P3m1 (No. 156)
Unique sites:
Ca: 0.0000 0.0000 0.0000 [1 per cell]  3 Sb 3.30, 3 Zr 3.46, 6 Ca 3.49
Zr: 0.3333 0.6667 0.6357 [1 per cell]  3 Sb 3.05
Sb: 0.6667 0.3333 0.3388 [1 per cell]  3 Zr 3.05, 3 Ca 3.30



[12]
CaZrSb2: relaxed, PBE-GGA.

Computed properties:
M_tot: 0.000 μB per atom
E_form (uncorrected): -0.755 eV/atom
energy above the lowest structure with this stoichiometry: 17 kJ/mol of formula units
V: 28.8 A^3/atom
total DFT energy (no corrections): -5.45 eV/atom
theoretical density: 5.40 g/cm³
DOS(E_F): 3.60 states/eV per cell

Cell: 4.2181 4.2181 22.4457 Å, 90.00 90.00 120.00°
With the nearest neighbours (Å) after each atom.
Space group R3m (No. 160, hexagonal axes)
Unique sites:
Ca: 0.0000 0.0000 0.0000 [3 per cell]  6 Sb 3.16-3.22
Zr: 0.0000 0.0000 0.8297 [3 per cell]  6 Sb 2.94-2.98
Sb: 0.0000 0.0000 0.2392 [3 per cell]  3 Zr 2.98, 3 Ca 3.22
Sb: 0.0000 0.0000 0.4232 [3 per cell]  3 Zr 2.94, 3 Ca 3.16



> Number 7 is which compound?

CaZr2Sb